No. 1
This record from Alexandria describes Cs3RhF7 after structural relaxation. The functional is PBE.

- VASP energy (eV/atom) = -4.402
- crystal system = tetragonal
- formation energy without anion corrections (eV/atom) = -2.310
- space group = P4/mbm (127)

a = 6.3783 Å, b = 8.6286 Å, c = 8.6286 Å
α = 90.00°, β = 90.00°, γ = 90.00°
With the nearest neighbours (Å) after each atom.
Atoms (fractional coordinates):
1 Rh 0.0000 0.5000 0.0000  6 F 1.95-1.96
2 Rh 0.0000 0.0000 0.5000  6 F 1.95-1.96
3 Cs 0.0000 0.5000 0.5000  6 F 3.19-3.24
4 Cs 0.5000 0.3087 0.1913  10 F 3.00-3.24
5 Cs 0.0000 0.0000 0.0000  6 F 3.19-3.24
6 Cs 0.5000 0.1913 0.6913  10 F 3.00-3.24
7 Cs 0.5000 0.8087 0.3087  10 F 3.00-3.24
8 Cs 0.5000 0.6913 0.8087  10 F 3.00-3.24
9 F 0.2201 0.3887 0.8887  1 Rh 1.95
10 F 0.7799 0.6113 0.1113  1 Rh 1.95
11 F 0.2201 0.6113 0.1113  1 Rh 1.95
12 F 0.0000 0.8398 0.3398  1 Rh 1.96
13 F 0.2201 0.8887 0.6113  1 Rh 1.95
14 F 0.7799 0.8887 0.6113  1 Rh 1.95
15 F 0.0000 0.3398 0.1602  1 Rh 1.96
16 F 0.7799 0.1113 0.3887  1 Rh 1.95
17 F 0.0000 0.1602 0.6602  1 Rh 1.96
18 F 0.0000 0.6602 0.8398  1 Rh 1.96
19 F 0.7799 0.3887 0.8887  1 Rh 1.95
20 F 0.5000 0.5000 0.5000  6 Cs 3.13-3.19
21 F 0.2201 0.1113 0.3887  1 Rh 1.95
22 F 0.5000 0.0000 0.0000  6 Cs 3.13-3.19


No. 2
This record from Alexandria describes ScZn2Cu after structural relaxation. The functional is PBE.

- energy of formation from the pure elements (eV/atom) = -0.26
- VASP energy (eV/atom) = -3.501
- crystal system = cubic
- space group = Fm-3m (225)

a = 4.4378 Å, b = 4.4378 Å, c = 4.4378 Å
α = 60.00°, β = 60.00°, γ = 60.00°
With the nearest neighbours (Å) after each atom.
Atoms (fractional coordinates):
1 Cu 0.5000 0.5000 0.5000  8 Zn 2.72
2 Zn 0.7500 0.7500 0.7500  4 Cu 2.72, 4 Sc 2.72
3 Zn 0.2500 0.2500 0.2500  4 Cu 2.72, 4 Sc 2.72
4 Sc 0.0000 0.0000 0.0000  8 Zn 2.72


No. 3
This record from Alexandria describes Os2AuSe after structural relaxation. The functional is PBE.

- VASP energy (eV/atom) = -6.297
- crystal system = monoclinic
- formation energy without anion corrections (eV/atom) = 1.008
- space group = C2/m (12)

a = 4.7719 Å, b = 5.5371 Å, c = 2.8443 Å
α = 75.63°, β = 88.84°, γ = 115.20°
With the nearest neighbours (Å) after each atom.
Atoms (fractional coordinates):
1 Se 0.0000 0.5000 0.5000  4 Au 2.75-2.80, 4 Os 2.78, 2 Se 2.84
2 Os 0.5000 0.0000 0.5000  6 Os 2.75-2.84, 2 Au 2.78, 2 Se 2.78
3 Os 0.0000 0.0000 0.0000  6 Os 2.75-2.84, 2 Se 2.78, 2 Au 2.78
4 Au 0.5000 0.5000 0.0000  4 Se 2.75-2.80, 4 Os 2.78, 2 Au 2.84


No. 4
This record from Alexandria describes BeTeCN2 after structural relaxation. The functional is PBE.

- VASP energy (eV/atom) = -4.450
- crystal system = tetragonal
- formation energy without anion corrections (eV/atom) = 2.099
- space group = P4/mmm (123)

a = 3.2421 Å, b = 3.2421 Å, c = 7.5834 Å
α = 90.00°, β = 90.00°, γ = 90.00°
With the nearest neighbours (Å) after each atom.
Atoms (fractional coordinates):
1 N 0.0000 0.5000 0.0000  2 C 1.62
2 N 0.5000 0.0000 0.0000  2 C 1.62
3 Be 0.5000 0.5000 0.5000  4 Te 2.29
4 C 0.0000 0.0000 0.0000  4 N 1.62
5 Te 0.0000 0.0000 0.5000  4 Be 2.29


No. 5
This record from Alexandria describes IClO2 after structural relaxation. The functional is PBE.

- VASP energy (eV/atom) = -2.344
- crystal system = cubic
- formation energy without anion corrections (eV/atom) = 0.984
- space group = Fm-3m (225)

a = 4.2310 Å, b = 4.2310 Å, c = 4.2310 Å
α = 60.00°, β = 60.00°, γ = 60.00°
With the nearest neighbours (Å) after each atom.
Atoms (fractional coordinates):
1 Cl 0.0000 0.0000 0.0000  8 O 2.59
2 I 0.5000 0.5000 0.5000  8 O 2.59
3 O 0.7500 0.7500 0.7500  4 Cl 2.59, 4 I 2.59
4 O 0.2500 0.2500 0.2500  4 Cl 2.59, 4 I 2.59


No. 6
This record from Alexandria describes NaAlSbH2 after structural relaxation. The functional is PBE.

- VASP energy (eV/atom) = -3.201
- crystal system = orthorhombic
- space group = Cmcm (63)

a = 4.8965 Å, b = 6.2188 Å, c = 6.0172 Å
α = 90.00°, β = 90.00°, γ = 113.18°
With the nearest neighbours (Å) after each atom.
Atoms (fractional coordinates):
1 Sb 0.5554 0.1107 0.2500  4 Al 2.94, 4 H 3.16, 1 Na 3.22, 2 Sb 3.26
2 Sb 0.4446 0.8893 0.7500  4 Al 2.94, 4 H 3.16, 1 Na 3.22, 2 Sb 3.26
3 H 0.1432 0.2864 0.9628  1 Al 1.65
4 H 0.8568 0.7136 0.0372  1 Al 1.65
5 H 0.8568 0.7136 0.4628  1 Al 1.65
6 H 0.1432 0.2864 0.5372  1 Al 1.65
7 Al 0.0000 0.0000 0.5000  2 H 1.65
8 Al 0.0000 0.0000 0.0000  2 H 1.65
9 Na 0.2736 0.5472 0.2500  2 H 2.28
10 Na 0.7264 0.4528 0.7500  2 H 2.28


No. 7
This record from Alexandria describes Tl3Te2 after structural relaxation. The functional is PBE.

- VASP energy (eV/atom) = -2.877
- crystal system = trigonal
- formation energy without anion corrections (eV/atom) = -0.201
- space group = R-3c (167)

a = 8.5484 Å, b = 8.5484 Å, c = 8.0303 Å
α = 57.84°, β = 57.84°, γ = 60.00°
With the nearest neighbours (Å) after each atom.
Atoms (fractional coordinates):
1 Te 0.8764 0.8764 0.3707  6 Tl 3.25-3.33
2 Te 0.6236 0.6236 0.1293  6 Tl 3.25-3.33
3 Te 0.1236 0.1236 0.6293  6 Tl 3.25-3.33
4 Te 0.3764 0.3764 0.8707  6 Tl 3.25-3.33
5 Tl 0.5200 0.9800 0.2500  4 Te 3.25-3.33
6 Tl 0.7500 0.4800 0.7500  4 Te 3.25-3.33
7 Tl 0.9800 0.2500 0.2500  4 Te 3.25-3.33
8 Tl 0.4800 0.0200 0.7500  4 Te 3.25-3.33
9 Tl 0.2500 0.5200 0.2500  4 Te 3.25-3.33
10 Tl 0.0200 0.7500 0.7500  4 Te 3.25-3.33


No. 8
This record from Alexandria describes CuPt2Rh after structural relaxation. The functional is PBE.

- energy of formation from the pure elements (eV/atom) = -0.04
- VASP energy (eV/atom) = -5.926
- crystal system = trigonal
- space group = R3m (160)

a = 2.7542 Å, b = 2.7542 Å, c = 9.0222 Å
α = 81.22°, β = 81.22°, γ = 60.00°
With the nearest neighbours (Å) after each atom.
Atoms (fractional coordinates):
1 Pt 0.0806 0.0806 0.7583  3 Cu 2.66, 6 Pt 2.75, 3 Rh 2.78
2 Pt 0.2528 0.2528 0.2417  3 Cu 2.68, 6 Pt 2.75, 3 Rh 2.80
3 Rh 0.4996 0.4996 0.5011  6 Rh 2.75, 6 Pt 2.78-2.80
4 Cu 0.6671 0.6671 0.9988  6 Pt 2.66-2.68, 6 Cu 2.75


No. 9
This record from Alexandria describes InBS4 after structural relaxation. The functional is PBE.

- VASP energy (eV/atom) = -4.258
- crystal system = monoclinic
- formation energy without anion corrections (eV/atom) = 0.063
- space group = P2_1/c (14)

a = 3.7973 Å, b = 5.6842 Å, c = 13.7866 Å
α = 88.31°, β = 90.00°, γ = 90.00°
With the nearest neighbours (Å) after each atom.
Atoms (fractional coordinates):
1 S 0.9024 0.1169 0.8873  1 B 1.71
2 S 0.0976 0.8831 0.1127  1 B 1.71
3 S 0.5976 0.6169 0.3873  1 B 1.71
4 S 0.4621 0.8752 0.6174  2 In 2.48-2.69, 1 B 2.72
5 S 0.4024 0.3831 0.6127  1 B 1.71
6 S 0.5379 0.1248 0.3826  2 In 2.48-2.69, 1 B 2.72
7 S 0.9621 0.6248 0.8826  2 In 2.48-2.69, 1 B 2.72
8 S 0.0379 0.3752 0.1174  2 In 2.48-2.69, 1 B 2.72
9 In 0.5000 0.5000 0.0000  4 S 2.48-2.69
10 In 0.0000 0.0000 0.5000  4 S 2.48-2.69
11 B 0.0000 0.0000 0.0000  2 S 1.71
12 B 0.5000 0.5000 0.5000  2 S 1.71


No. 10
This record from Alexandria describes CuBPt2Rh after structural relaxation. The functional is PBE.

- energy of formation from the pure elements (eV/atom) = -0.03
- VASP energy (eV/atom) = -6.072
- crystal system = tetragonal
- space group = P4/mmm (123)

a = 4.1428 Å, b = 4.1428 Å, c = 4.0838 Å
α = 90.00°, β = 90.00°, γ = 90.00°
With the nearest neighbours (Å) after each atom.
Atoms (fractional coordinates):
1 Cu 0.5000 0.5000 0.5000  8 Pt 2.91, 4 Rh 2.93
2 Pt 0.0000 0.5000 0.0000  2 B 2.07
3 Pt 0.5000 0.0000 0.0000  2 B 2.07
4 B 0.0000 0.0000 0.0000  2 Rh 2.04, 4 Pt 2.07
5 Rh 0.0000 0.0000 0.5000  2 B 2.04


No. 11
This record from Alexandria describes Ga3HRh after structural relaxation. The functional is PBE.

- VASP energy (eV/atom) = -3.842
- crystal system = cubic
- space group = Pm-3m (221)

a = 4.0633 Å, b = 4.0633 Å, c = 4.0633 Å
α = 90.00°, β = 90.00°, γ = 90.00°
With the nearest neighbours (Å) after each atom.
Atoms (fractional coordinates):
1 Ga 0.0000 0.5000 0.0000  2 H 2.03
2 Ga 0.0000 0.0000 0.5000  2 H 2.03
3 Ga 0.5000 0.0000 0.0000  2 H 2.03
4 Rh 0.5000 0.5000 0.5000  12 Ga 2.87
5 H 0.0000 0.0000 0.0000  6 Ga 2.03


No. 12
This record from Alexandria describes CeTe2Rh after structural relaxation. The functional is PBE.

- VASP energy (eV/atom) = -5.121
- crystal system = trigonal
- formation energy without anion corrections (eV/atom) = -0.229
- space group = R-3m (166)

a = 3.9192 Å, b = 3.9192 Å, c = 9.4227 Å
α = 78.00°, β = 78.00°, γ = 60.00°
With the nearest neighbours (Å) after each atom.
Atoms (fractional coordinates):
1 Te 0.1149 0.1149 0.6553  3 Rh 2.67
2 Te 0.8851 0.8851 0.3447  3 Rh 2.67
3 Ce 0.0000 0.0000 0.0000  2 Te 3.15
4 Rh 0.5000 0.5000 0.5000  6 Te 2.67